(1)
Computed, not measured: a relaxed Mn2CuNi crystal at the PBE level of DFT.

Output
**Final energy**: -83.77 eV per cell
**E_form**: 7.1 kJ/mol of atoms

Structure (POSCAR):
```
Mn2CuNi
1.0
2.5004 0.0000 0.0000
-1.2502 2.1654 0.0000
0.0000 0.0000 24.8898
Mn Cu Ni
6 3 3
Direct
0.0000 0.0000 0.0000
0.0000 0.0000 0.2550
0.3333 0.6667 0.6667
0.3333 0.6667 0.9216
0.6667 0.3333 0.3333
0.6667 0.3333 0.5883
0.0000 0.0000 0.7543
0.3333 0.6667 0.4209
0.6667 0.3333 0.0876
0.0000 0.0000 0.5057
0.3333 0.6667 0.1723
0.6667 0.3333 0.8390
```

=====

(2)
Computed, not measured: a relaxed SrCdAu4 crystal at the PBE level of DFT.

Output
**Final energy**: -18.22 eV per cell
**E_form**: -40.4 kJ/mol of atoms

Structure (POSCAR):
```
SrCdAu4
1.0
0.0000 4.0299 4.0299
4.0299 0.0000 4.0299
4.0299 4.0299 0.0000
Sr Cd Au
1 1 4
Direct
0.0000 0.0000 0.0000
0.7500 0.7500 0.7500
0.3754 0.3754 0.3754
0.3754 0.3754 0.8739
0.3754 0.8739 0.3754
0.8739 0.3754 0.3754
```

=====

(3)
Computed, not measured: a relaxed YBrF3 crystal at the PBE level of DFT.

Output
**Final energy**: -18.35 eV per cell
**Formation energy without anion corrections**: -0.92 eV/atom

Structure (POSCAR):
```
YBrF3
1.0
4.6401 0.0000 0.0000
0.0000 4.6401 0.0000
0.0000 0.0000 4.6401
Y Br F
1 1 3
Direct
0.0000 0.0000 0.0000
0.5000 0.5000 0.5000
0.0000 0.5000 0.5000
0.5000 0.0000 0.5000
0.5000 0.5000 0.0000
```

=====

(4)
Computed, not measured: a relaxed DyGa4Ni6 crystal at the PBE level of DFT.

Output
**Final energy**: -54.15 eV per cell
**E_form**: -24.1 kJ/mol of atoms

Structure (POSCAR):
```
DyGa4Ni6
1.0
-3.0628 3.0628 4.4389
3.0628 -3.0628 4.4389
3.0628 3.0628 -4.4389
Dy Ga Ni
1 4 6
Direct
0.0000 0.0000 0.0000
0.1060 0.5089 0.0000
0.4911 0.4911 0.5971
0.5089 0.1060 0.0000
0.8940 0.8940 0.4029
0.0000 0.5000 0.5000
0.2551 0.2551 0.6790
0.4240 0.7449 0.0000
0.5000 0.0000 0.5000
0.5760 0.5760 0.3210
0.7449 0.4240 0.0000
```

=====

(5)
Computed, not measured: a relaxed Na6Cd crystal at the PBE level of DFT.

Output
**Final energy**: -8.58 eV per cell
**E_form**: 3.5 kJ/mol of atoms

Structure (POSCAR):
```
Na6Cd
1.0
5.6896 0.0000 0.0000
0.0000 5.6896 0.0000
0.0000 0.0000 7.5373
Na Cd
6 1
Direct
0.0000 0.0000 0.0000
0.0000 0.5000 0.2456
0.0000 0.5000 0.7544
0.5000 0.0000 0.2456
0.5000 0.0000 0.7544
0.5000 0.5000 0.5000
0.5000 0.5000 0.0000
```

=====

| no. | total magnetization (μB per atom) | mass density (Mg/m³) | V (Å³/cell) |
| --- | --- | --- | --- |
| 1 | 0.176 | 8.58 | 134.8 |
| 2 | 0.000 | 12.53 | 130.9 |
| 3 | 0.128 | 3.75 | 99.9 |
| 4 | 0.000 | 7.91 | 166.6 |
| 5 | 0.000 | 1.70 | 244.0 |